Computed, not measured: a geometry-optimized TaFeSe2 structure at the PBE-GGA level of DFT.

Symmetry: No. 216
ΔE_f (raw) in eV/atom: 0.495

```
4
Lattice="4.574 0.000 0.000 2.287 3.962 0.000 2.287 1.321 3.735" Properties=species:S:1:pos:R:3 pbc="T T T"
Ta 2.287 1.321 0.934
Se 6.862 3.962 2.801
Se 0.000 0.000 0.000
Fe 4.574 2.641 1.867
```